Entry 1:
Computed, not measured: an optimized crystal structure of Rb2HfGaF6 at the PBE-GGA level of DFT.

Output
ΔE_f (raw): -2.84 eV/atom

a = 7.2156 Å, b = 7.2156 Å, c = 7.2156 Å
α = 126.78°, β = 126.78°, γ = 78.61°
Sites, in units of the cell vectors:
1 Rb 0.2500 0.7500 0.5000
2 Rb 0.7500 0.2500 0.5000
3 Hf 0.0000 0.0000 0.0000
4 Ga 0.5000 0.5000 0.0000
5 F 0.1800 0.1800 0.0000
6 F 0.2194 0.2194 0.4389
7 F 0.2194 0.7806 0.0000
8 F 0.7806 0.2194 0.0000
9 F 0.7806 0.7806 0.5611
10 F 0.8200 0.8200 0.0000

---

Entry 2:
Computed, not measured: an optimized crystal structure of RbIn3Pt at the PBE-GGA level of DFT.

Output
distance to the lowest polymorph of the same formula: 0.0 meV/atom
ΔH_f (0 K): -0.285 eV/atom

a = 9.0465 Å, b = 4.7158 Å, c = 12.8855 Å
α = 90.00°, β = 90.00°, γ = 90.00°
Sites, in units of the cell vectors:
1 Rb 0.1620 0.2500 0.0045
2 Rb 0.3380 0.7500 0.5045
3 Rb 0.6620 0.2500 0.4955
4 Rb 0.8380 0.7500 0.9955
5 In 0.0605 0.2500 0.5761
6 In 0.1233 0.7500 0.7768
7 In 0.1475 0.7500 0.2313
8 In 0.3525 0.2500 0.7313
9 In 0.3767 0.2500 0.2768
10 In 0.4395 0.7500 0.0761
11 In 0.5605 0.2500 0.9239
12 In 0.6233 0.7500 0.7232
13 In 0.6475 0.7500 0.2687
14 In 0.8525 0.2500 0.7687
15 In 0.8767 0.2500 0.2232
16 In 0.9395 0.7500 0.4239
17 Pt 0.0999 0.2500 0.3603
18 Pt 0.4001 0.7500 0.8603
19 Pt 0.5999 0.2500 0.1397
20 Pt 0.9001 0.7500 0.6397

---

Entry 3:
Computed, not measured: an optimized crystal structure of Sr2YBiO at the PBE-GGA level of DFT.

Output
distance to the lowest polymorph of the same formula: 0.0 meV/atom
ΔE_f (raw): -1.37 eV/atom

a = 5.4686 Å, b = 5.4686 Å, c = 4.6088 Å
α = 90.00°, β = 90.00°, γ = 90.00°
Sites, in units of the cell vectors:
1 Sr 0.0000 0.5000 0.0000
2 Sr 0.5000 0.0000 0.0000
3 Y 0.0000 0.0000 0.5000
4 Bi 0.5000 0.5000 0.5000
5 O 0.0000 0.0000 0.0000

---

Entry 4:
Computed, not measured: an optimized crystal structure of Tb6InOs at the PBE-GGA level of DFT.

Output
ΔH_f (0 K): 0.027 eV/atom

a = 6.9009 Å, b = 6.9546 Å, c = 7.5008 Å
α = 90.51°, β = 116.70°, γ = 119.72°
Sites, in units of the cell vectors:
1 Tb 0.0457 0.0836 0.2559
2 Tb 0.2933 0.7093 0.2548
3 Tb 0.3223 0.5352 0.7457
4 Tb 0.6777 0.4648 0.2543
5 Tb 0.7067 0.2907 0.7452
6 Tb 0.9543 0.9164 0.7441
7 In 0.5000 0.0000 0.0000
8 Os 0.5000 0.5000 0.5000

---

Entry 5:
Computed, not measured: an optimized crystal structure of PrDy2Er4 at the PBE-GGA level of DFT.

Output
distance to the lowest polymorph of the same formula: 0.0 meV/atom
ΔH_f (0 K): 0.035 eV/atom

a = 8.4734 Å, b = 8.4734 Å, c = 8.7212 Å
α = 118.71°, β = 118.71°, γ = 23.96°
Sites, in units of the cell vectors:
1 Pr 0.0000 0.0000 0.0000
2 Dy 0.0702 0.0702 0.4300
3 Dy 0.9298 0.9298 0.5700
4 Er 0.2939 0.2939 0.7054
5 Er 0.3568 0.3568 0.1654
6 Er 0.6432 0.6432 0.8346
7 Er 0.7061 0.7061 0.2946

---

Entry 6:
Computed, not measured: an optimized crystal structure of PmAgH8Rh2 at the PBE-GGA level of DFT.

a = 4.8340 Å, b = 4.8340 Å, c = 6.1247 Å
α = 111.39°, β = 111.39°, γ = 54.76°
Sites, in units of the cell vectors:
1 Pm 0.0000 0.0000 0.0000
2 Ag 0.5000 0.5000 0.5000
3 H 0.0399 0.5725 0.1621
4 H 0.2472 0.2472 0.3914
5 H 0.4275 0.9601 0.8379
6 H 0.4325 0.4325 0.8332
7 H 0.5675 0.5675 0.1668
8 H 0.5725 0.0399 0.1621
9 H 0.7528 0.7528 0.6086
10 H 0.9601 0.4275 0.8379
11 Rh 0.2257 0.2257 0.6558
12 Rh 0.7743 0.7743 0.3442

---

Entry 7:
Computed, not measured: an optimized crystal structure of PuThBr2 at the PBE-GGA level of DFT.

Output
ΔE_f (raw): -0.75 eV/atom

a = 10.6545 Å, b = 10.6545 Å, c = 10.6545 Å
α = 19.60°, β = 19.60°, γ = 19.60°
Sites, in units of the cell vectors:
1 Pu 0.0000 0.0000 0.0000
2 Th 0.5000 0.5000 0.5000
3 Br 0.4023 0.4023 0.4023
4 Br 0.5977 0.5977 0.5977

---

Entry 8:
Computed, not measured: an optimized crystal structure of CaScIN2 at the PBE-GGA level of DFT.

Output
distance to the lowest polymorph of the same formula: 0.0 meV/atom
ΔE_f (raw): -0.12 eV/atom

a = 4.2697 Å, b = 4.2697 Å, c = 5.7287 Å
α = 90.00°, β = 90.00°, γ = 90.00°
Sites, in units of the cell vectors:
1 Ca 0.0000 0.0000 0.0000
2 Sc 0.5000 0.5000 0.5000
3 I 0.5000 0.5000 0.0000
4 N 0.0000 0.5000 0.5000
5 N 0.5000 0.0000 0.5000

---

Entry 9:
Computed, not measured: an optimized crystal structure of ZrAlFe at the PBE-GGA level of DFT.

Output
ΔH_f (0 K): -0.189 eV/atom

a = 4.2171 Å, b = 4.2171 Å, c = 3.1764 Å
α = 90.00°, β = 90.00°, γ = 120.00°
Sites, in units of the cell vectors:
1 Zr 0.0000 0.0000 0.0000
2 Al 0.3333 0.6667 0.5010
3 Fe 0.6667 0.3333 0.5591

---

Entry 10:
Computed, not measured: an optimized crystal structure of PrDySc2Sb4 at the PBE-GGA level of DFT.

Output
ΔE_f (raw): -1.03 eV/atom

a = 7.4671 Å, b = 4.3285 Å, c = 7.4937 Å
α = 90.00°, β = 109.57°, γ = 90.00°
Sites, in units of the cell vectors:
1 Pr 0.0000 0.0000 0.0000
2 Dy 0.0000 0.5000 0.5000
3 Sc 0.5000 0.0000 0.5000
4 Sc 0.5000 0.5000 0.0000
5 Sb 0.2685 0.0000 0.7510
6 Sb 0.2724 0.5000 0.2627
7 Sb 0.7276 0.5000 0.7373
8 Sb 0.7315 0.0000 0.2490

---

Entry 11:
Computed, not measured: an optimized crystal structure of MoSNCl2 at the PBE-GGA level of DFT.

Output
distance to the lowest polymorph of the same formula: 0.0 meV/atom
ΔE_f (raw): 0.73 eV/atom

a = 4.9242 Å, b = 4.9242 Å, c = 4.5999 Å
α = 90.00°, β = 90.00°, γ = 90.00°
Sites, in units of the cell vectors:
1 Mo 0.0000 0.0000 0.0000
2 S 0.0000 0.0000 0.5000
3 N 0.5000 0.5000 0.5000
4 Cl 0.0000 0.5000 0.0000
5 Cl 0.5000 0.0000 0.0000

---

Entry 12:
Computed, not measured: an optimized crystal structure of CaRe2Au at the PBE-GGA level of DFT.

Output
distance to the lowest polymorph of the same formula: 337.7 meV/atom
ΔH_f (0 K): 0.498 eV/atom

a = 3.1745 Å, b = 4.4663 Å, c = 5.0100 Å
α = 90.00°, β = 90.00°, γ = 90.00°
Sites, in units of the cell vectors:
1 Ca 0.0000 0.0000 0.0000
2 Re 0.0000 0.5000 0.5000
3 Re 0.5000 0.0000 0.5000
4 Au 0.5000 0.5000 0.0000

---

For reference, Fermi-level density of states by record: 0.02, 9.70, 2.79, 10.72, 10.08, 1.97, 9.42, 1.52, 3.83, 1.32, 3.17, 3.23 states/eV per cell.
For reference, final energy by record: -5.458, -3.330, -5.101, -5.192, -4.570, -4.247, -7.021, -5.429, -7.107, -5.849, -4.664, -7.046 eV per atom.